[1]
DFT (GGA-PBE) results for crystalline Al2FeTeIr at its relaxed geometry.

Calculated values
The energy relative to the elements, uncorrected is 0.43 eV per atom. The density of states at the Fermi level comes out at 6.56 states/eV/f.u. As for the crystal system: tetragonal. For the total energy, the calculation gives -5.160 eV/atom.

a = 4.747 Å, b = 4.747 Å, c = 4.654 Å
α = 90.00°, β = 90.00°, γ = 90.00°
Fractional coordinates of all 5 atoms:
Al (0.000, 0.500, 0.000)
Al (0.500, 0.000, 0.000)
Fe (0.000, 0.000, 0.500)
Te (0.500, 0.500, 0.500)
Ir (0.000, 0.000, 0.000)

=====

[2]
DFT (GGA-PBE) results for crystalline Th2AlFeIr6 at its relaxed geometry.

Calculated values
The energy of formation is -459 meV/atom. The density of states at the Fermi level comes out at 7.93 states/eV/f.u. As for the crystal system: triclinic. For the total energy, the calculation gives -8.480 eV/atom.

a = 6.061 Å, b = 6.064 Å, c = 6.075 Å
α = 69.78°, β = 69.78°, γ = 69.83°
Fractional coordinates of all 10 atoms:
Th (0.179, 0.179, 0.179)
Th (0.821, 0.821, 0.821)
Al (0.500, 0.500, 0.500)
Fe (0.000, 0.000, 0.000)
Ir (0.148, 0.310, 0.608)
Ir (0.310, 0.609, 0.148)
Ir (0.391, 0.852, 0.690)
Ir (0.609, 0.148, 0.310)
Ir (0.690, 0.391, 0.852)
Ir (0.852, 0.690, 0.392)

=====

Repeat the second record exactly.
DFT (GGA-PBE) results for crystalline Th2AlFeIr6 at its relaxed geometry.

Calculated values
The energy of formation is -459 meV/atom. The density of states at the Fermi level comes out at 7.93 states/eV/f.u. As for the crystal system: triclinic. For the total energy, the calculation gives -8.480 eV/atom.

a = 6.061 Å, b = 6.064 Å, c = 6.075 Å
α = 69.78°, β = 69.78°, γ = 69.83°
Fractional coordinates of all 10 atoms:
Th (0.179, 0.179, 0.179)
Th (0.821, 0.821, 0.821)
Al (0.500, 0.500, 0.500)
Fe (0.000, 0.000, 0.000)
Ir (0.148, 0.310, 0.608)
Ir (0.310, 0.609, 0.148)
Ir (0.391, 0.852, 0.690)
Ir (0.609, 0.148, 0.310)
Ir (0.690, 0.391, 0.852)
Ir (0.852, 0.690, 0.392)

=====

total energy of number 2 (Th2AlFeIr6)? -8.480 eV/atom